Material: ErTmCl2O2
Method: DFT, GGA-PBE
State: relaxed

Its crystal system is tetragonal. The space group is P4mm, No. 99.

Structure (CIF):
```
data_ErTmCl2O2
_symmetry_space_group_name_H-M 'P 1'
_symmetry_Int_Tables_number 1
_cell_length_a 3.736
_cell_length_b 3.736
_cell_length_c 7.718
_cell_angle_alpha 90.00
_cell_angle_beta 90.00
_cell_angle_gamma 90.00
loop_
_symmetry_equiv_pos_as_xyz
'x,y,z'
loop_
_atom_site_label
_atom_site_type_symbol
_atom_site_fract_x
_atom_site_fract_y
_atom_site_fract_z
_atom_site_occupancy
Cl1 Cl 0.000 0.000 0.662 1
Cl2 Cl 0.500 0.500 0.338 1
O1 O 0.000 0.500 0.999 1
O2 O 0.500 0.000 0.999 1
Tm1 Tm 0.500 0.500 0.852 1
Er1 Er 0.000 0.000 0.149 1
```

=====

Material: YErCl2O2
Method: DFT, GGA-PBE
State: relaxed

Its crystal system is tetragonal. The space group is P4mm, No. 99.

Structure (CIF):
```
data_YErCl2O2
_symmetry_space_group_name_H-M 'P 1'
_symmetry_Int_Tables_number 1
_cell_length_a 3.849
_cell_length_b 3.849
_cell_length_c 6.858
_cell_angle_alpha 90.00
_cell_angle_beta 90.00
_cell_angle_gamma 90.00
loop_
_symmetry_equiv_pos_as_xyz
'x,y,z'
loop_
_atom_site_label
_atom_site_type_symbol
_atom_site_fract_x
_atom_site_fract_y
_atom_site_fract_z
_atom_site_occupancy
O1 O 0.500 0.000 0.002 1
O2 O 0.000 0.500 0.002 1
Cl1 Cl 0.500 0.500 0.634 1
Cl2 Cl 0.000 0.000 0.367 1
Er1 Er 0.500 0.500 0.163 1
Y1 Y 0.000 0.000 0.833 1
```

=====

Material: Pr2Er2SiCl5
Method: DFT, GGA-PBE
State: relaxed

Its crystal system is monoclinic. The space group is C2/m, No. 12.

Structure (CIF):
```
data_Pr2Er2SiCl5
_symmetry_space_group_name_H-M 'P 1'
_symmetry_Int_Tables_number 1
_cell_length_a 9.059
_cell_length_b 9.059
_cell_length_c 8.584
_cell_angle_alpha 101.52
_cell_angle_beta 101.52
_cell_angle_gamma 25.47
loop_
_symmetry_equiv_pos_as_xyz
'x,y,z'
loop_
_atom_site_label
_atom_site_type_symbol
_atom_site_fract_x
_atom_site_fract_y
_atom_site_fract_z
_atom_site_occupancy
Si1 Si 0.500 0.500 0.000 1
Er1 Er 0.652 0.652 0.080 1
Er2 Er 0.348 0.348 0.920 1
Cl1 Cl 0.500 0.500 0.500 1
Cl2 Cl 0.170 0.170 0.297 1
Cl3 Cl 0.821 0.821 0.128 1
Cl4 Cl 0.830 0.830 0.703 1
Cl5 Cl 0.179 0.179 0.872 1
Pr1 Pr 0.998 0.998 0.231 1
Pr2 Pr 0.002 0.002 0.769 1
```

=====

Material: ErSCl3
Method: DFT, GGA-PBE
State: relaxed

Its crystal system is monoclinic. The space group is C2/m, No. 12.

Structure (CIF):
```
data_ErSCl3
_symmetry_space_group_name_H-M 'P 1'
_symmetry_Int_Tables_number 1
_cell_length_a 6.810
_cell_length_b 6.810
_cell_length_c 9.029
_cell_angle_alpha 93.46
_cell_angle_beta 93.46
_cell_angle_gamma 118.86
loop_
_symmetry_equiv_pos_as_xyz
'x,y,z'
loop_
_atom_site_label
_atom_site_type_symbol
_atom_site_fract_x
_atom_site_fract_y
_atom_site_fract_z
_atom_site_occupancy
Er1 Er 0.169 0.831 0.000 1
Er2 Er 0.831 0.169 0.000 1
S1 S 0.617 0.617 0.454 1
S2 S 0.383 0.383 0.546 1
Cl1 Cl 0.479 0.852 0.833 1
Cl2 Cl 0.852 0.479 0.833 1
Cl3 Cl 0.521 0.148 0.167 1
Cl4 Cl 0.148 0.521 0.167 1
Cl5 Cl 0.101 0.101 0.836 1
Cl6 Cl 0.899 0.899 0.164 1
```

=====

Material: ErSCl3
Method: DFT, GGA-PBE
State: relaxed

Its crystal system is monoclinic. The space group is C2/m, No. 12.

Structure (CIF):
```
data_ErSCl3
_symmetry_space_group_name_H-M 'P 1'
_symmetry_Int_Tables_number 1
_cell_length_a 7.432
_cell_length_b 7.432
_cell_length_c 6.736
_cell_angle_alpha 90.16
_cell_angle_beta 90.16
_cell_angle_gamma 122.93
loop_
_symmetry_equiv_pos_as_xyz
'x,y,z'
loop_
_atom_site_label
_atom_site_type_symbol
_atom_site_fract_x
_atom_site_fract_y
_atom_site_fract_z
_atom_site_occupancy
Cl1 Cl 0.501 0.088 0.236 1
Cl2 Cl 0.912 0.499 0.764 1
Cl3 Cl 0.310 0.310 0.651 1
Cl4 Cl 0.499 0.912 0.764 1
Cl5 Cl 0.088 0.501 0.236 1
Cl6 Cl 0.690 0.690 0.349 1
Er1 Er 0.817 0.183 0.000 1
Er2 Er 0.183 0.817 0.000 1
S1 S 0.065 0.065 0.826 1
S2 S 0.935 0.935 0.174 1
```

=====

Material: SmErSbCl2
Method: DFT, GGA-PBE
State: relaxed

Its crystal system is trigonal. The space group is P3m1, No. 156.

Structure (CIF):
```
data_SmErSbCl2
_symmetry_space_group_name_H-M 'P 1'
_symmetry_Int_Tables_number 1
_cell_length_a 4.189
_cell_length_b 4.189
_cell_length_c 10.583
_cell_angle_alpha 90.00
_cell_angle_beta 90.00
_cell_angle_gamma 120.00
loop_
_symmetry_equiv_pos_as_xyz
'x,y,z'
loop_
_atom_site_label
_atom_site_type_symbol
_atom_site_fract_x
_atom_site_fract_y
_atom_site_fract_z
_atom_site_occupancy
Cl1 Cl 0.000 0.000 0.318 1
Cl2 Cl 0.333 0.667 0.690 1
Sm1 Sm 0.333 0.667 0.168 1
Er1 Er 0.000 0.000 0.831 1
Sb1 Sb 0.667 0.333 0.993 1
```

=====

Material: TbErSbCl2
Method: DFT, GGA-PBE
State: relaxed

Its crystal system is trigonal. The space group is P3m1, No. 156.

Structure (CIF):
```
data_TbErSbCl2
_symmetry_space_group_name_H-M 'P 1'
_symmetry_Int_Tables_number 1
_cell_length_a 4.150
_cell_length_b 4.150
_cell_length_c 10.476
_cell_angle_alpha 90.00
_cell_angle_beta 90.00
_cell_angle_gamma 120.00
loop_
_symmetry_equiv_pos_as_xyz
'x,y,z'
loop_
_atom_site_label
_atom_site_type_symbol
_atom_site_fract_x
_atom_site_fract_y
_atom_site_fract_z
_atom_site_occupancy
Tb1 Tb 0.333 0.667 0.168 1
Sb1 Sb 0.667 0.333 0.997 1
Cl1 Cl 0.000 0.000 0.315 1
Cl2 Cl 0.333 0.667 0.688 1
Er1 Er 0.000 0.000 0.832 1
```

=====

Material: ErTmSiCl2
Method: DFT, GGA-PBE
State: relaxed

Its crystal system is trigonal. The space group is P3m1, No. 156.

Structure (CIF):
```
data_ErTmSiCl2
_symmetry_space_group_name_H-M 'P 1'
_symmetry_Int_Tables_number 1
_cell_length_a 3.992
_cell_length_b 3.992
_cell_length_c 9.583
_cell_angle_alpha 90.00
_cell_angle_beta 90.00
_cell_angle_gamma 120.00
loop_
_symmetry_equiv_pos_as_xyz
'x,y,z'
loop_
_atom_site_label
_atom_site_type_symbol
_atom_site_fract_x
_atom_site_fract_y
_atom_site_fract_z
_atom_site_occupancy
Cl1 Cl 0.667 0.333 0.169 1
Cl2 Cl 0.000 0.000 0.829 1
Er1 Er 0.000 0.000 0.334 1
Tm1 Tm 0.667 0.333 0.667 1
Si1 Si 0.333 0.667 0.501 1
```

=====

| no. | spin magnetization (μB per atom) | energy (Ry per atom) |
| --- | --- | --- |
| 1 | 0.000 | -0.5037 |
| 2 | 0.000 | -0.5263 |
| 3 | 0.002 | -0.3709 |
| 4 | 0.000 | -0.3339 |
| 5 | 0.000 | -0.3234 |
| 6 | 0.002 | -0.3709 |
| 7 | 0.005 | -0.3684 |
| 8 | 0.001 | -0.3805 |